Record 1
# TbGdEr, relaxed, DFT GGA-PBE
data_TbGdEr
_space_group_name_H-M_alt 'P 1'
_space_group_IT_number 1
_cell_length_a 3.559
_cell_length_b 3.559
_cell_length_c 7.909
_cell_angle_alpha 103.00
_cell_angle_beta 103.00
_cell_angle_gamma 90.00
loop_
_space_group_symop_operation_xyz
'x,y,z'
loop_
_atom_site_label
_atom_site_type_symbol
_atom_site_fract_x
_atom_site_fract_y
_atom_site_fract_z
_atom_site_occupancy
Tb1 Tb 0.952 0.952 0.904 1
Er1 Er 0.615 0.615 0.231 1
Gd1 Gd 0.283 0.283 0.566 1
# Spin magnetization, μB/f.u.: 7.27
# Energy above the most stable polymorph in this dataset, meV/atom: 0
# SG: I4mm (107)
# VASP energy, eV per atom: -7.736

---

Record 2
# Pr2NdCd, relaxed, DFT GGA-PBE
data_Pr2NdCd
_space_group_name_H-M_alt 'P 1'
_space_group_IT_number 1
_cell_length_a 5.641
_cell_length_b 5.641
_cell_length_c 5.641
_cell_angle_alpha 60.00
_cell_angle_beta 60.00
_cell_angle_gamma 60.00
loop_
_space_group_symop_operation_xyz
'x,y,z'
loop_
_atom_site_label
_atom_site_type_symbol
_atom_site_fract_x
_atom_site_fract_y
_atom_site_fract_z
_atom_site_occupancy
Cd1 Cd 0.500 0.500 0.500 1
Pr1 Pr 0.750 0.750 0.750 1
Pr2 Pr 0.250 0.250 0.250 1
Nd1 Nd 0.000 0.000 0.000 1
# Spin magnetization, μB/f.u.: 0.00
# Energy above the most stable polymorph in this dataset, meV/atom: 123
# SG: Fm-3m (225)
# VASP energy, eV per atom: -3.838

---

What did the second record say?
# Pr2NdCd, relaxed, DFT GGA-PBE
data_Pr2NdCd
_space_group_name_H-M_alt 'P 1'
_space_group_IT_number 1
_cell_length_a 5.641
_cell_length_b 5.641
_cell_length_c 5.641
_cell_angle_alpha 60.00
_cell_angle_beta 60.00
_cell_angle_gamma 60.00
loop_
_space_group_symop_operation_xyz
'x,y,z'
loop_
_atom_site_label
_atom_site_type_symbol
_atom_site_fract_x
_atom_site_fract_y
_atom_site_fract_z
_atom_site_occupancy
Cd1 Cd 0.500 0.500 0.500 1
Pr1 Pr 0.750 0.750 0.750 1
Pr2 Pr 0.250 0.250 0.250 1
Nd1 Nd 0.000 0.000 0.000 1
# Spin magnetization, μB/f.u.: 0.00
# Energy above the most stable polymorph in this dataset, meV/atom: 123
# SG: Fm-3m (225)
# VASP energy, eV per atom: -3.838